Entry from Alexandria: HoCoI after structural relaxation (PBE).

Geometry as extended XYZ:
```
6
Lattice="3.438 -1.985 0.000 3.438 1.985 0.000 -2.330 0.000 12.265" Properties=species:S:1:pos:R:3 pbc="T T T"
Ho 0.000 0.000 1.817
Ho 4.547 0.000 10.449
Co 2.292 0.000 0.044
Co 2.254 0.000 12.221
I -0.038 0.000 8.292
I 4.585 0.000 3.973
```

The total energy is -5.21 eV per atom. Its space group is C2/m. The magnetic moment is 0.26 μB per formula unit. For the calculated density, the calculation gives 7.0 g cm⁻³. The value obtained for the uncorrected formation energy is -0.796 eV/atom.